(1)
Entry from Alexandria via LeMat-Bulk: a relaxed Ba6Sr2Ag crystal (PBE-GGA).

Cell and atoms, written as POSCAR:
```
Ba6Sr2Ag
1.0
4.4105 0.0000 0.0000
-2.2053 3.8196 0.0000
0.0000 0.0000 30.6807
Ba Sr Ag
6 2 1
direct
0.0000 0.0000 0.0665
0.0000 0.0000 0.3018
0.0000 0.0000 0.6982
0.0000 0.0000 0.9335
0.3333 0.6667 0.4267
0.3333 0.6667 0.5733
0.3333 0.6667 0.1845
0.3333 0.6667 0.8155
0.0000 0.0000 0.5000
```

As for the theoretical density: 3.56 g cm⁻³. The value obtained for the formation energy is 0.01 eV/atom. The volume is 57.4 A^3/atom.


(2)
Entry from Alexandria via LeMat-Bulk: a relaxed BaSr2Ag9 crystal (PBE-GGA).

Cell and atoms, written as POSCAR:
```
BaSr2Ag9
1.0
2.9627 1.7105 9.5235
-2.9627 1.7105 9.5235
0.0000 -3.4210 9.5235
Ba Sr Ag
1 2 9
direct
0.0000 0.0000 0.0000
0.1426 0.1426 0.1426
0.8574 0.8574 0.8574
0.0830 0.5831 0.5831
0.3326 0.3326 0.3326
0.4169 0.4169 0.9170
0.4169 0.9170 0.4169
0.5000 0.5000 0.5000
0.5831 0.0830 0.5831
0.5831 0.5831 0.0830
0.6674 0.6674 0.6674
0.9170 0.4169 0.4169
```

As for the theoretical density: 7.36 g cm⁻³. The value obtained for the formation energy is -0.19 eV/atom. The volume is 24.1 A^3/atom.


(3)
Entry from Alexandria via LeMat-Bulk: a relaxed BaSr12Ag6 crystal (PBE-GGA).

Cell and atoms, written as POSCAR:
```
BaSr12Ag6
1.0
-5.8297 5.8297 5.8297
5.8297 -5.8297 5.8297
5.8297 5.8297 -5.8297
Ba Sr Ag
1 12 6
direct
0.0000 0.0000 0.0000
0.1250 0.3086 0.8163
0.1837 0.4923 0.3086
0.1837 0.8750 0.6914
0.3086 0.1837 0.4923
0.3086 0.8163 0.1250
0.4923 0.3086 0.1837
0.5077 0.6914 0.8163
0.6914 0.1837 0.8750
0.6914 0.8163 0.5077
0.8163 0.1250 0.3086
0.8163 0.5077 0.6914
0.8750 0.6914 0.1837
0.1205 0.5000 0.6205
0.3795 0.8795 0.5000
0.5000 0.3795 0.8795
0.5000 0.6205 0.1205
0.6205 0.1205 0.5000
0.8795 0.5000 0.3795
```

As for the theoretical density: 3.85 g cm⁻³. The value obtained for the formation energy is -0.17 eV/atom. The volume is 41.7 A^3/atom.


(4)
Entry from Alexandria via LeMat-Bulk: a relaxed Ba3Sr4Ag4 crystal (PBE-GGA).

Cell and atoms, written as POSCAR:
```
Ba3Sr4Ag4
1.0
-2.2512 5.1417 9.5049
2.2512 -5.1417 9.5049
2.2512 5.1417 -9.5049
Ba Sr Ag
3 4 4
direct
0.0000 0.0000 0.0000
0.3976 0.8976 0.5000
0.6024 0.1024 0.5000
0.0164 0.3294 0.6871
0.3577 0.6706 0.6871
0.6423 0.3294 0.3129
0.9836 0.6706 0.3129
0.2521 0.2521 0.0000
0.2909 0.5000 0.7909
0.7091 0.5000 0.2091
0.7479 0.7479 0.0000
```

As for the theoretical density: 4.51 g cm⁻³. The value obtained for the formation energy is -0.19 eV/atom. The volume is 40.0 A^3/atom.


(5)
Entry from Alexandria via LeMat-Bulk: a relaxed Ba2SrAg2 crystal (PBE-GGA).

Cell and atoms, written as POSCAR:
```
Ba2SrAg2
1.0
-3.0390 3.0390 6.1323
3.0390 -3.0390 6.1323
3.0390 3.0390 -6.1323
Ba Sr Ag
2 1 2
direct
0.1570 0.1570 0.0000
0.8430 0.8430 0.0000
0.5000 0.5000 0.0000
0.2500 0.7500 0.5000
0.7500 0.2500 0.5000
```

As for the theoretical density: 4.24 g cm⁻³. The value obtained for the formation energy is 0.04 eV/atom. The volume is 45.3 A^3/atom.


(6)
Entry from Alexandria via LeMat-Bulk: a relaxed Ba4SrAg crystal (PBE-GGA).

Cell and atoms, written as POSCAR:
```
Ba4SrAg
1.0
5.6756 -7.9055 0.0000
5.6756 7.9055 0.0000
-2.2666 0.0000 7.2297
Ba Sr Ag
8 2 2
direct
0.0602 0.7273 0.9482
0.1719 0.3621 0.6220
0.2727 0.9398 0.5518
0.3621 0.1719 0.1220
0.6379 0.8281 0.8780
0.7273 0.0602 0.4482
0.8281 0.6379 0.3780
0.9398 0.2727 0.0518
0.3912 0.6088 0.2500
0.6088 0.3912 0.7500
0.0007 0.9993 0.2500
0.9993 0.0007 0.7500
```

As for the theoretical density: 3.81 g cm⁻³. The value obtained for the formation energy is -0.04 eV/atom. The volume is 54.1 A^3/atom.


(7)
Entry from Alexandria via LeMat-Bulk: a relaxed Ba2Sr3Ag2 crystal (PBE-GGA).

Cell and atoms, written as POSCAR:
```
Ba2Sr3Ag2
1.0
7.1076 -2.2812 0.0000
7.1076 2.2812 0.0000
-4.4582 0.0000 9.5022
Ba Sr Ag
2 3 2
direct
0.1628 0.1628 0.3027
0.8372 0.8372 0.6973
0.3775 0.3775 0.0678
0.5000 0.5000 0.5000
0.6225 0.6225 0.9322
0.1623 0.1623 0.7300
0.8377 0.8377 0.2700
```

As for the theoretical density: 4.06 g cm⁻³. The value obtained for the formation energy is -0.17 eV/atom. The volume is 44.0 A^3/atom.


(8)
Entry from Alexandria via LeMat-Bulk: a relaxed Ba2SrAg2 crystal (PBE-GGA).

Cell and atoms, written as POSCAR:
```
Ba2SrAg2
1.0
9.8485 0.0000 0.0000
0.0000 9.8485 0.0000
0.0000 0.0000 3.8827
Ba Sr Ag
4 2 4
direct
0.1370 0.3630 0.0000
0.3630 0.8630 0.0000
0.6370 0.1370 0.0000
0.8630 0.6370 0.0000
0.0000 0.0000 0.0000
0.5000 0.5000 0.0000
0.1606 0.6606 0.5000
0.3394 0.1606 0.5000
0.6606 0.8394 0.5000
0.8394 0.3394 0.5000
```

As for the theoretical density: 5.10 g cm⁻³. The value obtained for the formation energy is -0.05 eV/atom. The volume is 37.7 A^3/atom.